A relaxed TcIrW crystal. Source: Alexandria, functional PBE.

Cell and atoms, written as extended XYZ:
```
3
Lattice="-0.079 -2.824 3.412 -2.853 -0.497 -3.353 1.778 -1.593 -1.277" Properties=species:S:1:pos:R:3 pbc="T T T"
Ir 1.509 -1.352 -1.084
Tc -0.390 -2.597 0.717
W -0.495 -2.556 -2.127
```

Calculated values
- total energy (eV/atom) = -10.72
- energy of formation from the pure elements (eV per atom) = 0.00
- space group = P3m1 (156)
- energy above the lowest structure with this stoichiometry (meV per atom) = 102

---

A relaxed Sc2TePBr crystal. Source: Alexandria, functional PBE.

Cell and atoms, written as extended XYZ:
```
5
Lattice="5.176 0.000 0.000 0.000 4.658 0.000 0.000 0.000 5.176" Properties=species:S:1:pos:R:3 pbc="T T T"
Sc 0.000 0.000 2.588
Sc 2.588 0.000 0.000
P 0.000 2.329 0.000
Te 2.588 2.329 2.588
Br 0.000 0.000 0.000
```

Calculated values
- total energy (eV/atom) = -4.45
- space group = P4/mmm (123)

---

A relaxed SiAs2P crystal. Source: Alexandria, functional PBE.

Cell and atoms, written as extended XYZ:
```
4
Lattice="3.214 -0.206 0.000 -1.285 2.953 0.000 0.000 0.000 8.676" Properties=species:S:1:pos:R:3 pbc="T T T"
As 0.000 0.000 8.061
As 0.964 1.373 2.792
P 0.000 0.000 4.509
Si 0.964 1.373 6.330
```

Calculated values
- total energy (eV/atom) = -4.56
- space group = Cmm2 (35)
- energy above the lowest structure with this stoichiometry (meV per atom) = 363

---

A relaxed ScBi3O6 crystal. Source: Alexandria, functional PBE.

Cell and atoms, written as extended XYZ:
```
20
Lattice="-6.321 -2.493 1.152 -0.577 -0.271 -6.863 3.083 -6.143 0.506" Properties=species:S:1:pos:R:3 pbc="T T T"
Sc 0.000 0.000 0.000
Sc -1.908 -4.454 -2.602
Bi -1.016 -5.953 -5.428
Bi -4.887 -5.214 -3.856
Bi -1.662 -1.265 -3.499
Bi -2.153 -7.642 -1.705
Bi 1.072 -3.694 -1.348
Bi -2.799 -2.954 0.224
O -2.262 -1.384 -6.122
O 1.279 -4.678 -6.028
O -2.792 -4.573 -4.545
O -6.175 -2.854 -3.686
O -0.839 -6.222 -3.154
O -0.348 -3.127 -3.220
O -3.467 -5.780 -1.985
O -2.976 -2.685 -2.050
O 2.360 -6.053 -1.518
O -1.023 -4.335 -0.659
O -5.094 -4.229 0.824
O -1.553 -7.524 0.918
```

Calculated values
- total energy (eV/atom) = -6.55
- space group = R-3 (148)
- energy above the lowest structure with this stoichiometry (meV per atom) = 0